TcW2Cl: optimized geometry, PBE.

a = 2.8352 Å, b = 2.8352 Å, c = 8.7831 Å
α = 90.00°, β = 90.00°, γ = 113.18°
Element x y z (fractional)
Cl 0.0000 0.0000 0.4916
Tc 0.5000 0.5000 0.7619
W 0.0000 0.0000 0.9977
W 0.5000 0.5000 0.2487

Calculated values
- Raw formation energy: 1.912 eV per formula unit
- Polymorph energy (0 for the lowest one): 114 meV per atom
- E: -9.052 eV per atom
- Spin magnetization: 0.0 μB per cell



FeNi3Ir2: optimized geometry, PBE.

a = 5.1662 Å, b = 4.5132 Å, c = 9.9875 Å
α = 112.09°, β = 120.28°, γ = 107.18°
Last column: magnetic moment on the atom in μB.
Element x y z (fractional)
Fe 0.1259 0.0018 0.2513  2.63
Fe 0.8741 0.9982 0.7487  2.63
Ni 0.3827 0.0041 0.7508  0.29
Ni 0.6173 0.9959 0.2492  0.29
Ni 0.9547 0.6680 0.9193  0.31
Ni 0.2954 0.3399 0.5864  0.04
Ni 0.7046 0.6601 0.4136  0.04
Ni 0.0453 0.3320 0.0807  0.31
Ir 0.2096 0.6663 0.4191  -0.02
Ir 0.4584 0.6670 0.9178  -0.01
Ir 0.5416 0.3330 0.0822  -0.01
Ir 0.7904 0.3337 0.5809  -0.02

Calculated values
- E: -7.277 eV per atom
- ΔH_f (0 K): -0.023 eV/atom
- Spin magnetization: 6.4 μB per cell



KSbN3: optimized geometry, PBE.

a = 4.3235 Å, b = 4.3235 Å, c = 4.3235 Å
α = 90.00°, β = 90.00°, γ = 90.00°
Last column: magnetic moment on the atom in μB.
Element x y z (fractional)
Sb 0.5000 0.5000 0.5000  -0.20
K 0.0000 0.0000 0.0000  0.08
N 0.0000 0.5000 0.0000  0.91
N 0.0000 0.0000 0.5000  0.71
N 0.5000 0.0000 0.0000  0.73

Calculated values
- Raw formation energy: 15.156 eV per formula unit
- E: -3.008 eV per atom
- Spin magnetization: 2.9 μB per cell



Re2SiP: optimized geometry, PBE.

a = 7.9235 Å, b = 7.9235 Å, c = 7.9235 Å
α = 20.83°, β = 20.83°, γ = 20.83°
Element x y z (fractional)
P 0.7500 0.7500 0.7500
Re 0.0033 0.0033 0.0033
Re 0.4967 0.4967 0.4967
Si 0.2500 0.2500 0.2500

Calculated values
- Raw formation energy: 0.098 eV per formula unit
- Polymorph energy (0 for the lowest one): 237 meV per atom
- E: -8.908 eV per atom
- Spin magnetization: 0.0 μB per cell



BaTlSnSe: optimized geometry, PBE.

a = 5.9086 Å, b = 4.0994 Å, c = 6.1830 Å
α = 90.00°, β = 96.75°, γ = 90.00°
Element x y z (fractional)
Ba 0.3051 0.0000 0.3863
Tl 0.8167 0.5000 0.5067
Sn 0.5324 0.5000 0.9276
Se 0.2034 0.0000 0.8721

Calculated values
- Raw formation energy: -2.132 eV per formula unit
- Polymorph energy (0 for the lowest one): 220 meV per atom
- E: -3.477 eV per atom
- Spin magnetization: 0.0 μB per cell



K3NaTa: optimized geometry, PBE.

a = 6.7981 Å, b = 6.7981 Å, c = 6.7981 Å
α = 90.00°, β = 90.00°, γ = 90.00°
Last column: magnetic moment on the atom in μB.
Element x y z (fractional)
Na 0.5000 0.5000 0.5000  -0.03
K 0.0000 0.5000 0.0000  0.04
K 0.0000 0.0000 0.5000  0.04
K 0.5000 0.0000 0.0000  0.05
Ta 0.0000 0.0000 0.0000  2.46

Calculated values
- Polymorph energy (0 for the lowest one): 0 meV per atom
- E: -2.047 eV per atom
- ΔH_f (0 K): 1.246 eV/atom
- Spin magnetization: 5.0 μB per cell



- Number 1 is which compound?
  TcW2Cl